Arrangement 1

A plane-wave DFT calculation with PBE was carried out for an optimized crystal structure of Ac4AgIr.

Lattice parameters (Å, degrees): 9.3816 9.3816 7.4325 108.10 108.10 117.61
Closest atoms and distances in Å follow each position.
Positions (direct):
Ac  0.0601  0.6463  0.8608  1 Ir 2.93
Ac  0.1988  0.2820  0.7366  2 Ir 2.95-3.05
Ac  0.2820  0.1988  0.2366  2 Ir 2.95-3.05
Ac  0.3537  0.9399  0.6392  1 Ir 2.93
Ac  0.6463  0.0601  0.3608  1 Ir 2.93
Ac  0.7180  0.8012  0.7634  2 Ir 2.95-3.05
Ac  0.8012  0.7180  0.2634  2 Ir 2.95-3.05
Ac  0.9399  0.3537  0.1392  1 Ir 2.93
Ag  0.3788  0.6212  0.2500  8 Ac 3.31-3.61
Ag  0.6212  0.3788  0.7500  8 Ac 3.31-3.61
Ir  0.0758  0.9242  0.7500  6 Ac 2.93-3.05
Ir  0.9242  0.0758  0.2500  6 Ac 2.93-3.05

Results
SG = C2/c, No. 15
N(E_F) = 1.10 states/eV/atom

---

Arrangement 2

A plane-wave DFT calculation with PBE was carried out for an optimized crystal structure of Ac4AgIr.

Lattice parameters (Å, degrees): 10.4988 10.4988 10.4988 60.00 60.00 60.00
Closest atoms and distances in Å follow each position.
Positions (direct):
Ac  0.1877  0.1877  0.8123  2 Ag 3.47, 2 Ir 3.79, 2 Ac 3.79
Ac  0.1877  0.8123  0.1877  2 Ag 3.47, 2 Ir 3.79, 2 Ac 3.79
Ac  0.1877  0.8123  0.8123  2 Ag 3.47, 2 Ir 3.79, 2 Ac 3.79
Ac  0.4022  0.4022  0.4022  3 Ir 3.07
Ac  0.4022  0.4022  0.7933  3 Ir 3.07
Ac  0.4022  0.7933  0.4022  3 Ir 3.07
Ac  0.5596  0.5596  0.9404  2 Ir 3.06
Ac  0.5596  0.9404  0.5596  2 Ir 3.06
Ac  0.5596  0.9404  0.9404  2 Ir 3.06
Ac  0.7933  0.4022  0.4022  3 Ir 3.07
Ac  0.8123  0.1877  0.1877  2 Ag 3.47, 2 Ir 3.79, 2 Ac 3.79
Ac  0.8123  0.1877  0.8123  2 Ag 3.47, 2 Ir 3.79, 2 Ac 3.79
Ac  0.8123  0.8123  0.1877  2 Ag 3.47, 2 Ir 3.79, 2 Ac 3.79
Ac  0.9404  0.5596  0.5596  2 Ir 3.06
Ac  0.9404  0.5596  0.9404  2 Ir 3.06
Ac  0.9404  0.9404  0.5596  2 Ir 3.06
Ag  0.1643  0.1643  0.1643  9 Ac 3.47-3.80, 3 Ag 3.60
Ag  0.1643  0.1643  0.5070  9 Ac 3.47-3.80, 3 Ag 3.60
Ag  0.1643  0.5070  0.1643  9 Ac 3.47-3.80, 3 Ag 3.60
Ag  0.5070  0.1643  0.1643  9 Ac 3.47-3.80, 3 Ag 3.60
Ir  0.1744  0.6085  0.6085  6 Ac 3.06-3.07
Ir  0.6085  0.1744  0.6085  6 Ac 3.06-3.07
Ir  0.6085  0.6085  0.1744  6 Ac 3.06-3.07
Ir  0.6085  0.6085  0.6085  6 Ac 3.06-3.07

Results
SG = F-43m, No. 216
N(E_F) = 0.99 states/eV/atom

---

Question: which arrangement is favored energetically? Ranking from most to least stable: arrangement 2, arrangement 1.